Entry 1:
Tm6Mg2Ag | PBE-GGA | optimized geometry

## Properties
ΔE_f, kJ per mole of atoms: 29
SG: No. 71
Density, g cm⁻³: 6.94

Cell: 8.819 8.819 8.819 Å, 147.04 130.81 60.49°
Element x y z (fractional)
Tm1 0.078 0.338 0.740
Tm2 0.236 0.000 0.236
Tm3 0.402 0.662 0.740
Tm4 0.598 0.338 0.260
Tm5 0.764 0.000 0.764
Tm6 0.922 0.662 0.260
Mg1 0.335 0.835 0.500
Mg2 0.665 0.165 0.500
Ag1 0.000 0.500 0.500



Entry 2:
TmMg3Ag2 | PBE-GGA | optimized geometry

## Properties
ΔE_f, kJ per mole of atoms: -20
SG: No. 26
Distance to the lowest polymorph of the same formula, meV/atom: 0
Density, g cm⁻³: 5.76

Cell: 4.392 8.555 7.023 Å, 90.00 90.00 90.00°
Element x y z (fractional)
Tm1 0.000 0.074 0.000
Tm2 0.000 0.926 0.500
Mg1 0.000 0.311 0.612
Mg2 0.000 0.689 0.112
Mg3 0.500 0.200 0.322
Mg4 0.500 0.419 0.938
Mg5 0.500 0.581 0.438
Mg6 0.500 0.800 0.822
Ag1 0.000 0.383 0.223
Ag2 0.000 0.617 0.723
Ag3 0.500 0.122 0.714
Ag4 0.500 0.878 0.214



Entry 3:
Tm3Mg9Ag2 | PBE-GGA | optimized geometry

## Properties
ΔE_f, kJ per mole of atoms: -7
SG: No. 71
Density, g cm⁻³: 4.74

Cell: 8.580 8.580 8.580 Å, 146.79 100.54 88.88°
Element x y z (fractional)
Tm1 0.000 0.000 0.000
Tm2 0.287 0.287 0.000
Tm3 0.713 0.713 0.000
Mg1 0.000 0.368 0.632
Mg2 0.000 0.632 0.368
Mg3 0.138 0.862 0.275
Mg4 0.263 0.632 0.632
Mg5 0.413 0.138 0.275
Mg6 0.500 0.000 0.500
Mg7 0.587 0.862 0.725
Mg8 0.737 0.368 0.368
Mg9 0.862 0.138 0.725
Ag1 0.350 0.500 0.850
Ag2 0.650 0.500 0.150



Entry 4:
TmMg3Ag | PBE-GGA | optimized geometry

## Properties
ΔE_f, kJ per mole of atoms: -13
SG: No. 65
Distance to the lowest polymorph of the same formula, meV/atom: 0
Density, g cm⁻³: 5.02

Cell: 7.471 7.471 4.416 Å, 90.00 90.00 110.20°
Element x y z (fractional)
Tm1 0.213 0.787 0.000
Tm2 0.787 0.213 0.000
Mg1 0.000 0.000 0.500
Mg2 0.174 0.441 0.500
Mg3 0.441 0.174 0.500
Mg4 0.500 0.500 0.000
Mg5 0.559 0.826 0.500
Mg6 0.826 0.559 0.500
Ag1 0.189 0.189 0.000
Ag2 0.811 0.811 0.000



Entry 5:
Tm3MgAg2 | PBE-GGA | optimized geometry

## Properties
ΔE_f, kJ per mole of atoms: -23
SG: No. 123
Density, g cm⁻³: 8.58

Cell: 3.626 3.626 10.990 Å, 90.00 90.00 90.00°
Element x y z (fractional)
Tm1 0.000 0.000 0.000
Tm2 0.000 0.000 0.323
Tm3 0.000 0.000 0.677
Mg1 0.500 0.500 0.500
Ag1 0.500 0.500 0.167
Ag2 0.500 0.500 0.833



Entry 6:
TmMg3Ag | PBE-GGA | optimized geometry

## Properties
ΔE_f, kJ per mole of atoms: -12
SG: No. 62
Distance to the lowest polymorph of the same formula, meV/atom: 3
Density, g cm⁻³: 5.01

Cell: 9.919 3.526 13.246 Å, 90.00 90.00 90.00°
Element x y z (fractional)
Tm1 0.156 0.250 0.002
Tm2 0.344 0.750 0.502
Tm3 0.656 0.250 0.498
Tm4 0.844 0.750 0.998
Mg1 0.067 0.250 0.586
Mg2 0.076 0.750 0.793
Mg3 0.177 0.750 0.216
Mg4 0.323 0.250 0.716
Mg5 0.424 0.250 0.293
Mg6 0.433 0.750 0.086
Mg7 0.567 0.250 0.914
Mg8 0.576 0.750 0.707
Mg9 0.677 0.750 0.284
Mg10 0.823 0.250 0.784
Mg11 0.924 0.250 0.207
Mg12 0.933 0.750 0.414
Ag1 0.154 0.250 0.379
Ag2 0.346 0.750 0.879
Ag3 0.654 0.250 0.121
Ag4 0.846 0.750 0.621